No. 1
Na2TbSnS4: relaxed, PBE.

Computed properties:
total magnetization: 0.0000 μB per atom
raw total energy: -4.7372 eV per atom
D(E_F): 2.31 states/eV/f.u.
energy relative to the elements, uncorrected: -29.16 kcal/mol of atoms

a b c (Å): 6.942 3.954 7.075
angles (deg): 90.00 108.80 90.00
Space group P2/m (No. 10)
One atom of each set of equivalent atoms:
Na1 0.000 0.000 0.000 x1
Na2 0.500 0.500 0.000 x1
Tb1 0.000 0.500 0.500 x1
Sn1 0.500 0.000 0.500 x1
S1 0.245 0.000 0.726 x2
S2 0.257 0.500 0.272 x2

---

No. 2
Na3Tb3SnS8: relaxed, PBE.

Computed properties:
total magnetization: 0.0000 μB per atom
raw total energy: -5.1901 eV per atom
energy relative to the elements, uncorrected: -35.33 kcal/mol of atoms

a b c (Å): 7.9104 7.9104 20.2890
angles (deg): 90.00 90.00 120.00
Space group R-3m (No. 166, hexagonal axes)
One atom of each set of equivalent atoms:
Na1 0.0000 0.5000 0.0000 x9
Tb1 0.0000 0.5000 0.5000 x9
Sn1 0.0000 0.0000 0.5000 x3
S1 0.0000 0.0000 0.2416 x6
S2 0.0178 0.5089 0.2400 x18

---

No. 3
NaSnTeS: relaxed, PBE.

Computed properties:
total magnetization: 0.0000 μB per atom
raw total energy: -3.7005 eV per atom
D(E_F): 2.37 states/eV/f.u.
energy relative to the elements, uncorrected: -12.75 kcal/mol of atoms

a b c (Å): 4.1325 4.1325 21.9254
angles (deg): 90.00 90.00 120.00
Space group R3m (No. 160, hexagonal axes)
One atom of each set of equivalent atoms:
Na1 0.0000 0.0000 0.0000 x3
Sn1 0.0000 0.0000 0.5210 x3
Te1 0.0000 0.0000 0.7711 x3
S1 0.0000 0.0000 0.2588 x3

---

No. 4
NaSnTe2S6: relaxed, PBE.

Computed properties:
total magnetization: 0.0000 μB per atom
raw total energy: -3.8248 eV per atom
D(E_F): 5.17 states/eV/f.u.
energy relative to the elements, uncorrected: -4.33 kcal/mol of atoms

a b c (Å): 6.7315 6.7315 20.7316
angles (deg): 90.00 90.00 120.00
Space group R3 (No. 146, hexagonal axes)
One atom of each set of equivalent atoms:
Na1 0.0000 0.0000 0.0000 x3
Sn1 0.0000 0.0000 0.5158 x3
Te1 0.0000 0.0000 0.2067 x3
Te2 0.0000 0.0000 0.7252 x3
S1 0.0087 0.6739 0.7698 x9
S2 0.0561 0.3411 0.2641 x9

---

No. 5
Na3ThSn2S6: relaxed, PBE.

Computed properties:
total magnetization: 0.0000 μB per atom
raw total energy: -4.7911 eV per atom
D(E_F): 5.09 states/eV/f.u.
energy relative to the elements, uncorrected: -25.65 kcal/mol of atoms

a b c (Å): 7.094 12.280 7.074
angles (deg): 90.00 109.51 90.00
Space group C2/m (No. 12)
One atom of each set of equivalent atoms:
Na1 0.000 0.000 0.000 x2
Na2 0.000 0.328 0.000 x4
Th1 0.000 0.500 0.500 x2
Sn1 0.000 0.166 0.500 x4
S1 0.241 0.336 0.732 x8
S2 0.249 0.000 0.731 x4

---

No. 6
Na2ThSnS4: relaxed, PBE.

Computed properties:
total magnetization: 0.0000 μB per atom
raw total energy: -5.1472 eV per atom
D(E_F): 0.00 states/eV/f.u.
energy relative to the elements, uncorrected: -30.57 kcal/mol of atoms

a b c (Å): 7.013 4.159 7.264
angles (deg): 90.00 109.36 90.00
Space group P2/m (No. 10)
One atom of each set of equivalent atoms:
Na1 0.000 0.000 0.000 x1
Na2 0.000 0.500 0.500 x1
Th1 0.500 0.000 0.500 x1
Sn1 0.500 0.500 0.000 x1
S1 0.268 0.000 0.740 x2
S2 0.269 0.500 0.267 x2